Density functional theory data (PBE) for ZnPbBr2 after structural relaxation.

The space group is Cmm2 (No. 35) and the conventional cell measures 4.0948, 6.3924 and 9.3635 Å, with angles of 90.00, 90.00 and 90.00 degrees. The distinct sites, in fractional coordinates, are Zn at (0.0000, 0.0000, 0.0000), Pb at (0.0000, 0.5000, 0.7583), Br at (0.0000, 0.0000, 0.5327) and Br at (0.0000, 0.5000, 0.1623).

Its formation energy without anion corrections is -352.0 meV per atom. For the density of states at the Fermi level, the calculation gives 2.9 states/eV per cell. Its calculated density is 5.9 g/cm³. The final energy is -2.434 eV per atom.

Density functional theory data (PBE) for ZnPb2Br2 after structural relaxation.

The space group is P4/mbm (No. 127) and the conventional cell measures 7.7294, 7.7294 and 5.1012 Å, with angles of 90.00, 90.00 and 90.00 degrees. The distinct sites, in fractional coordinates, are Zn at (0.0000, 0.0000, 0.0000), Pb at (0.1639, 0.3361, 0.0000) and Br at (0.1841, 0.6841, 0.5000).

Its formation energy without anion corrections is -276.7 meV per atom. For the density of states at the Fermi level, the calculation gives 4.1 states/eV per cell. Its calculated density is 7.0 g/cm³. The final energy is -2.684 eV per atom.

Density functional theory data (PBE) for ZnPbBr2 after structural relaxation.

The space group is I-42d (No. 122) and the conventional cell measures 9.0008, 9.0008 and 7.0990 Å, with angles of 90.00, 90.00 and 90.00 degrees. The distinct sites, in fractional coordinates, are Zn at (0.0000, 0.0000, 0.0000), Pb at (0.0000, 0.0000, 0.5000) and Br at (0.1930, 0.2500, 0.6250).

Its formation energy without anion corrections is -333.9 meV per atom. For the density of states at the Fermi level, the calculation gives 0.0 states/eV per cell. Its calculated density is 5.0 g/cm³. The final energy is -2.416 eV per atom.

Repeat the first record exactly.
Density functional theory data (PBE) for ZnPbBr2 after structural relaxation.

The space group is Cmm2 (No. 35) and the conventional cell measures 4.0948, 6.3924 and 9.3635 Å, with angles of 90.00, 90.00 and 90.00 degrees. The distinct sites, in fractional coordinates, are Zn at (0.0000, 0.0000, 0.0000), Pb at (0.0000, 0.5000, 0.7583), Br at (0.0000, 0.0000, 0.5327) and Br at (0.0000, 0.5000, 0.1623).

Its formation energy without anion corrections is -352.0 meV per atom. For the density of states at the Fermi level, the calculation gives 2.9 states/eV per cell. Its calculated density is 5.9 g/cm³. The final energy is -2.434 eV per atom.

Q: What is the formula in the first record?
A: ZnPbBr2

Q: Which of these has the highest calculated density?
A: ZnPb2Br2

Please write out number 3 again, unchanged.
Density functional theory data (PBE) for ZnPbBr2 after structural relaxation.

The space group is I-42d (No. 122) and the conventional cell measures 9.0008, 9.0008 and 7.0990 Å, with angles of 90.00, 90.00 and 90.00 degrees. The distinct sites, in fractional coordinates, are Zn at (0.0000, 0.0000, 0.0000), Pb at (0.0000, 0.0000, 0.5000) and Br at (0.1930, 0.2500, 0.6250).

Its formation energy without anion corrections is -333.9 meV per atom. For the density of states at the Fermi level, the calculation gives 0.0 states/eV per cell. Its calculated density is 5.0 g/cm³. The final energy is -2.416 eV per atom.